Entry 1:
CsSnIr | PBE | relaxed

a = 5.1469 Å, b = 5.1469 Å, c = 5.1469 Å
α = 60.00°, β = 60.00°, γ = 60.00°
Fractional coordinates of all 3 atoms:
Ir 0.7500 0.7500 0.7500
Sn 0.0000 0.0000 0.0000
Cs 0.2500 0.2500 0.2500

Computed properties:
energy: -3.4692 eV/atom

Entry 2:
CsSnTe3Ir | PBE | relaxed

a = 8.0920 Å, b = 8.0920 Å, c = 12.4017 Å
α = 90.00°, β = 90.00°, γ = 146.96°
Fractional coordinates of all 12 atoms:
Te 0.8682 0.1318 0.9533
Te 0.1318 0.8682 0.0467
Te 0.4831 0.5169 0.7500
Te 0.5169 0.4831 0.2500
Te 0.1318 0.8682 0.4533
Te 0.8682 0.1318 0.5467
Sn 0.5000 0.5000 0.5000
Sn 0.5000 0.5000 0.0000
Ir 0.0920 0.9080 0.2500
Ir 0.9080 0.0920 0.7500
Cs 0.7868 0.2132 0.2500
Cs 0.2132 0.7868 0.7500

Computed properties:
energy: -4.1659 eV/atom

Entry 3:
CsSrTe3Ir | PBE | relaxed

a = 8.1279 Å, b = 8.1279 Å, c = 13.0745 Å
α = 90.00°, β = 90.00°, γ = 146.32°
Fractional coordinates of all 12 atoms:
Sr 0.5000 0.5000 0.5000
Sr 0.5000 0.5000 0.0000
Te 0.1341 0.8659 0.4212
Te 0.4771 0.5229 0.2500
Te 0.8659 0.1341 0.5788
Te 0.1341 0.8659 0.0788
Te 0.5229 0.4771 0.7500
Te 0.8659 0.1341 0.9212
Ir 0.0485 0.9515 0.2500
Ir 0.9515 0.0485 0.7500
Cs 0.7660 0.2340 0.2500
Cs 0.2340 0.7660 0.7500

Computed properties:
energy: -4.1804 eV/atom